Entry from the Alexandria database: an optimized crystal structure of MoP2Au (GGA-PBE).

extended XYZ file:
```
8
Lattice="-2.784 2.784 5.424 2.784 -2.784 5.424 2.784 2.784 -5.424" Properties=species:S:1:pos:R:3 pbc="T T T"
Mo 0.000 0.000 0.000
Mo 0.000 2.784 2.712
P 4.176 1.281 -1.356
P 1.281 1.392 1.356
P -1.392 1.503 4.068
P 1.503 1.392 6.779
Au 2.784 0.000 2.712
Au 0.000 0.000 5.424
```

Results
The calculation puts the formation energy at 0.124 eV per atom. The total energy is -6.108 eV per atom.